A relaxed structure of ZrScTc2, computed with PBE.

Results
- M_tot (μB per cell) = 0.000
- density of states at the Fermi level (states/eV/f.u.) = 3.75
- ΔH_f (0 K) (meV per atom) = -69.9

Lattice parameters (Å, degrees): 3.3035 4.3020 4.9305 90.00 90.00 90.00
Last column: nearest neighbours and their distance in Å.
Space group Pmmm (No. 47)
One atom of each set of equivalent atoms:
Zr: 0.0000 0.0000 0.0000 [1 per cell]  4 Tc 2.71, 4 Sc 2.97
Sc: 0.5000 0.0000 0.5000 [1 per cell]  4 Tc 2.71, 4 Zr 2.97
Tc: 0.0000 0.5000 0.5000 [1 per cell]  4 Sc 2.71, 4 Tc 2.97
Tc: 0.5000 0.5000 0.0000 [1 per cell]  4 Zr 2.71, 4 Tc 2.97

A relaxed structure of Zr2ScTc, computed with PBE.

Results
- energy above the most stable polymorph in this dataset (meV per atom) = 411
- M_tot (μB per cell) = 0.000
- density of states at the Fermi level (states/eV/f.u.) = 3.50
- ΔH_f (0 K) (meV per atom) = 206.5

Lattice parameters (Å, degrees): 3.2673 4.1572 13.5495 90.00 90.00 90.00
Last column: nearest neighbours and their distance in Å.
Space group Immm (No. 71)
One atom of each set of equivalent atoms:
Zr: 0.0000 0.0000 0.1830 [4 per cell]  1 Tc 2.48
Sc: 0.0000 0.0000 0.5000 [2 per cell]  4 Tc 2.64
Tc: 0.0000 0.0000 0.0000 [2 per cell]  2 Zr 2.48, 4 Sc 2.64

A relaxed structure of Zr2ScTc, computed with PBE.

Results
- energy above the most stable polymorph in this dataset (meV per atom) = 254
- M_tot (μB per cell) = 0.000
- density of states at the Fermi level (states/eV/f.u.) = 4.84
- ΔH_f (0 K) (meV per atom) = 49.5

Lattice parameters (Å, degrees): 5.8705 9.4718 3.0375 90.00 110.06 90.00
Last column: nearest neighbours and their distance in Å.
Space group C2/m (No. 12)
One atom of each set of equivalent atoms:
Zr: 0.2500 0.2500 0.0000 [4 per cell]  2 Tc 2.92, 2 Sc 2.92, 4 Zr 2.94-3.04
Sc: 0.0000 0.0000 0.5000 [2 per cell]  4 Zr 2.92, 2 Tc 2.94, 2 Sc 3.04
Tc: 0.0000 0.5000 0.5000 [2 per cell]  4 Zr 2.92, 2 Sc 2.94, 2 Tc 3.04